1.
Here is Pm5Ni2Ru after structural relaxation from Alexandria via LeMat-Bulk. Energies are from GGA-PBE.

Geometry as CIF:
```
data_Pm5Ni2Ru
_chemical_formula_sum 'Pm10 Ni4 Ru2'
_cell_length_a 7.2356
_cell_length_b 7.2356
_cell_length_c 9.0471
_cell_angle_alpha 113.57
_cell_angle_beta 113.57
_cell_angle_gamma 90.00
_symmetry_space_group_name_H-M 'P 1'
_symmetry_Int_Tables_number 1
loop_
_symmetry_equiv_pos_as_xyz
'x,y,z'
loop_
_atom_site_label
_atom_site_type_symbol
_atom_site_fract_x
_atom_site_fract_y
_atom_site_fract_z
Pm1 Pm 0.0000 0.0000 0.0000
Pm2 Pm 0.3215 0.8215 0.2918
Pm3 Pm 0.1785 0.0297 0.7082
Pm4 Pm 0.5297 0.6785 0.7082
Pm5 Pm 0.5000 0.5000 0.0000
Pm6 Pm 0.6785 0.1785 0.7082
Pm7 Pm 0.4703 0.3215 0.2918
Pm8 Pm 0.0297 0.5297 0.7082
Pm9 Pm 0.9703 0.4703 0.2918
Pm10 Pm 0.8215 0.9703 0.2918
Ni1 Ni 0.3826 0.8826 0.0000
Ni2 Ni 0.1174 0.3826 0.0000
Ni3 Ni 0.6174 0.1174 0.0000
Ni4 Ni 0.8826 0.6174 0.0000
Ru1 Ru 0.2500 0.2500 0.5000
Ru2 Ru 0.7500 0.7500 0.5000
```

Summary:
Its space group is I4/mcm, No. 140. As for the energy relative to the elements: -1.9 eV per formula unit.

=====

2.
Here is InGaHg2 after structural relaxation from Alexandria via LeMat-Bulk. Energies are from GGA-PBE.

Geometry as CIF:
```
data_InGaHg2
_chemical_formula_sum 'In1 Ga1 Hg2'
_cell_length_a 3.2632
_cell_length_b 4.7152
_cell_length_c 8.4812
_cell_angle_alpha 116.19
_cell_angle_beta 78.91
_cell_angle_gamma 69.76
_symmetry_space_group_name_H-M 'P 1'
_symmetry_Int_Tables_number 1
loop_
_symmetry_equiv_pos_as_xyz
'x,y,z'
loop_
_atom_site_label
_atom_site_type_symbol
_atom_site_fract_x
_atom_site_fract_y
_atom_site_fract_z
Hg1 Hg 0.7072 0.0646 0.5210
Hg2 Hg 0.7928 0.4354 0.9790
In1 In 0.2500 0.2500 0.2500
Ga1 Ga 0.7500 0.7500 0.7500
```

Summary:
Its space group is C2/m, No. 12. As for the energy relative to the elements: 0.2 eV per formula unit.

=====

3.
Here is La3Tl2Ag4 after structural relaxation from Alexandria via LeMat-Bulk. Energies are from GGA-PBE.

Geometry as CIF:
```
data_La3Tl2Ag4
_chemical_formula_sum 'La3 Tl2 Ag4'
_cell_length_a 4.9679
_cell_length_b 6.1956
_cell_length_c 9.4125
_cell_angle_alpha 115.33
_cell_angle_beta 90.00
_cell_angle_gamma 113.64
_symmetry_space_group_name_H-M 'P 1'
_symmetry_Int_Tables_number 1
loop_
_symmetry_equiv_pos_as_xyz
'x,y,z'
loop_
_atom_site_label
_atom_site_type_symbol
_atom_site_fract_x
_atom_site_fract_y
_atom_site_fract_z
Ag1 Ag 0.0682 0.1363 0.4060
Ag2 Ag 0.9318 0.8637 0.5940
Ag3 Ag 0.2793 0.5587 0.9502
Ag4 Ag 0.7207 0.4413 0.0498
La1 La 0.3394 0.6787 0.3251
La2 La 0.0000 0.0000 0.0000
La3 La 0.6606 0.3213 0.6749
Tl1 Tl 0.3771 0.7541 0.7120
Tl2 Tl 0.6229 0.2459 0.2880
```

Summary:
Its space group is C2/m, No. 12. As for the energy relative to the elements: -2.8 eV per formula unit.

=====

4.
Here is Tb3AuO after structural relaxation from Alexandria via LeMat-Bulk. Energies are from GGA-PBE.

Geometry as CIF:
```
data_Tb3AuO
_chemical_formula_sum 'Tb3 Au1 O1'
_cell_length_a 4.7431
_cell_length_b 4.7431
_cell_length_c 4.7431
_cell_angle_alpha 90.00
_cell_angle_beta 90.00
_cell_angle_gamma 90.00
_symmetry_space_group_name_H-M 'P 1'
_symmetry_Int_Tables_number 1
loop_
_symmetry_equiv_pos_as_xyz
'x,y,z'
loop_
_atom_site_label
_atom_site_type_symbol
_atom_site_fract_x
_atom_site_fract_y
_atom_site_fract_z
Tb1 Tb 0.5000 0.0000 0.0000
Tb2 Tb 0.0000 0.5000 0.0000
Tb3 Tb 0.0000 0.0000 0.5000
O1 O 0.0000 0.0000 0.0000
Au1 Au 0.5000 0.5000 0.5000
```

Summary:
Its space group is Pm-3m, No. 221. As for the formation energy from raw total energies: -7.21 eV per formula unit.

=====

5.
Here is GdZr2Cu after structural relaxation from Alexandria via LeMat-Bulk. Energies are from GGA-PBE.

Geometry as CIF:
```
data_GdZr2Cu
_chemical_formula_sum 'Gd1 Zr2 Cu1'
_cell_length_a 3.1394
_cell_length_b 3.1394
_cell_length_c 10.9354
_cell_angle_alpha 81.75
_cell_angle_beta 81.75
_cell_angle_gamma 60.00
_symmetry_space_group_name_H-M 'P 1'
_symmetry_Int_Tables_number 1
loop_
_symmetry_equiv_pos_as_xyz
'x,y,z'
loop_
_atom_site_label
_atom_site_type_symbol
_atom_site_fract_x
_atom_site_fract_y
_atom_site_fract_z
Gd1 Gd 0.0000 0.0000 0.0000
Zr1 Zr 0.0999 0.0999 0.7004
Zr2 Zr 0.9001 0.9001 0.2996
Cu1 Cu 0.5000 0.5000 0.5000
```

Summary:
Its space group is R-3m, No. 166. As for the energy relative to the elements: 1.3 eV per formula unit. Its distance to the lowest polymorph of the same formula is 303 meV per atom.

=====

6.
Here is CrMoSe2 after structural relaxation from Alexandria via LeMat-Bulk. Energies are from GGA-PBE.

Geometry as CIF:
```
data_CrMoSe2
_chemical_formula_sum 'Cr1 Mo1 Se2'
_cell_length_a 3.8727
_cell_length_b 3.4709
_cell_length_c 5.7723
_cell_angle_alpha 92.12
_cell_angle_beta 90.00
_cell_angle_gamma 90.00
_symmetry_space_group_name_H-M 'P 1'
_symmetry_Int_Tables_number 1
loop_
_symmetry_equiv_pos_as_xyz
'x,y,z'
loop_
_atom_site_label
_atom_site_type_symbol
_atom_site_fract_x
_atom_site_fract_y
_atom_site_fract_z
Se1 Se 0.0000 0.9437 0.0119
Se2 Se 0.0000 0.5563 0.4881
Mo1 Mo 0.5000 0.7500 0.7500
Cr1 Cr 0.5000 0.2500 0.2500
```

Summary:
Its space group is P2/m, No. 10. Its distance to the lowest polymorph of the same formula is 671 meV per atom. As for the formation energy from raw total energies: 1.52 eV per formula unit.

=====

Short version: E_tot = -5.81, -1.54, -3.75, -5.87, -8.49, -6.48 eV per atom, in the order given.